1.
Material: La3Pr3AlHg2
Method: DFT, GGA-PBE
State: optimized geometry

Lattice parameters (Å, degrees): 3.8070 9.1947 9.1947 120.00 90.00 90.00
Fractional positions:
La  0.5000  0.7252  0.0000
La  0.5000  0.0000  0.7252
La  0.5000  0.2748  0.2748
Pr  0.0000  0.6099  0.6099
Pr  0.0000  0.0000  0.3901
Pr  0.0000  0.3901  0.0000
Al  0.0000  0.0000  0.0000
Hg  0.5000  0.6667  0.3333
Hg  0.5000  0.3333  0.6667

Calculated values
For the calculated volume, the calculation gives 31.0 Å³/atom. The value obtained for the density of states at the Fermi level is 10.881 states/eV/f.u. The space group is P-62m. As for the energy: -3.978 eV/atom. The energy of formation from the pure elements comes out at -260 meV per atom.

=====

2.
Material: La5PrAlHg2
Method: DFT, GGA-PBE
State: optimized geometry

Lattice parameters (Å, degrees): 10.0774 7.7181 7.7181 90.00 90.00 90.00
Fractional positions:
La  0.5000  0.5000  0.5000
La  0.5000  0.0000  0.0000
La  0.2306  0.2143  0.7143
La  0.2306  0.7857  0.2857
La  0.2306  0.2857  0.2143
La  0.2306  0.7143  0.7857
La  0.7694  0.2143  0.7143
La  0.7694  0.7143  0.7857
La  0.7694  0.7857  0.2857
La  0.7694  0.2857  0.2143
Pr  0.0000  0.5000  0.5000
Pr  0.0000  0.0000  0.0000
Al  0.0000  0.0000  0.5000
Al  0.0000  0.5000  0.0000
Hg  0.5000  0.6245  0.1245
Hg  0.5000  0.1245  0.3755
Hg  0.5000  0.8755  0.6245
Hg  0.5000  0.3755  0.8755

Calculated values
For the calculated volume, the calculation gives 33.3 Å³/atom. The value obtained for the density of states at the Fermi level is 13.691 states/eV/f.u. The space group is P4/mbm. As for the energy: -3.885 eV/atom. The energy of formation from the pure elements comes out at -134 meV per atom.

=====

3.
Material: LaPrAlHg
Method: DFT, GGA-PBE
State: optimized geometry

Lattice parameters (Å, degrees): 5.4506 5.4506 5.4506 60.00 60.00 60.00
Fractional positions:
Pr  0.0000  0.0000  0.0000
Al  0.2500  0.2500  0.2500
Hg  0.7500  0.7500  0.7500
La  0.5000  0.5000  0.5000

Calculated values
For the calculated volume, the calculation gives 28.6 Å³/atom. For the relative energy among the computed polymorphs, the calculation gives 36 meV/atom. The value obtained for the density of states at the Fermi level is 5.842 states/eV/f.u. The space group is F-43m. As for the energy: -3.823 eV/atom. The energy of formation from the pure elements comes out at -386 meV per atom.

=====

4.
Material: LaPrAlHg
Method: DFT, GGA-PBE
State: optimized geometry

Lattice parameters (Å, degrees): 3.7179 3.7179 8.1234 90.00 90.00 90.00
Fractional positions:
La  0.5000  0.5000  0.1204
Pr  0.5000  0.5000  0.5964
Al  0.0000  0.0000  0.3614
Hg  0.0000  0.0000  0.8498

Calculated values
For the calculated volume, the calculation gives 28.1 Å³/atom. For the relative energy among the computed polymorphs, the calculation gives 0 meV/atom. The value obtained for the density of states at the Fermi level is 2.689 states/eV/f.u. The space group is P4mm. As for the energy: -3.860 eV/atom. The energy of formation from the pure elements comes out at -422 meV per atom.

=====

5.
Material: La2Al3HgPt4
Method: DFT, GGA-PBE
State: optimized geometry

Lattice parameters (Å, degrees): 4.3465 4.3465 10.8848 90.00 90.00 90.00
Fractional positions:
La  0.5000  0.0000  0.2456
La  0.0000  0.5000  0.7544
Al  0.0000  0.0000  0.5000
Al  0.5000  0.0000  0.8840
Al  0.0000  0.5000  0.1160
Hg  0.5000  0.5000  0.5000
Pt  0.5000  0.5000  0.0000
Pt  0.0000  0.0000  0.0000
Pt  0.5000  0.0000  0.6573
Pt  0.0000  0.5000  0.3427

Calculated values
For the calculated volume, the calculation gives 20.6 Å³/atom. The value obtained for the density of states at the Fermi level is 6.989 states/eV/f.u. The space group is P-4m2. As for the energy: -5.525 eV/atom. The energy of formation from the pure elements comes out at -970 meV per atom.

=====

6.
Material: LaAlHgS2
Method: DFT, GGA-PBE
State: optimized geometry

Lattice parameters (Å, degrees): 5.1927 4.8816 5.1927 90.00 90.00 90.00
Fractional positions:
S  0.0000  0.0000  0.5000
S  0.5000  0.0000  0.0000
Al  0.0000  0.5000  0.0000
Hg  0.0000  0.0000  0.0000
La  0.5000  0.5000  0.5000

Calculated values
For the calculated volume, the calculation gives 26.3 Å³/atom. The value obtained for the density of states at the Fermi level is 3.019 states/eV/f.u. The space group is P4/mmm. As for the energy: -3.534 eV/atom. For the energy relative to the elements, uncorrected, the calculation gives -43 kJ/mol of formula units.

=====

7.
Material: LaAl2HgSb
Method: DFT, GGA-PBE
State: optimized geometry

Lattice parameters (Å, degrees): 4.9634 5.9813 4.9634 90.00 90.00 90.00
Fractional positions:
Sb  0.0000  0.5000  0.0000
Al  0.0000  0.0000  0.5000
Al  0.5000  0.0000  0.0000
Hg  0.0000  0.0000  0.0000
La  0.5000  0.5000  0.5000

Calculated values
For the calculated volume, the calculation gives 29.5 Å³/atom. The value obtained for the density of states at the Fermi level is 3.529 states/eV/f.u. The space group is P4/mmm. As for the energy: -3.203 eV/atom. For the energy relative to the elements, uncorrected, the calculation gives 79 kJ/mol of formula units.

=====

8.
Material: LaAl2SnHg
Method: DFT, GGA-PBE
State: optimized geometry

Lattice parameters (Å, degrees): 5.2547 5.4855 5.2547 90.00 90.00 90.00
Fractional positions:
Al  0.0000  0.0000  0.5000
Al  0.5000  0.0000  0.0000
Hg  0.0000  0.5000  0.0000
Sn  0.0000  0.0000  0.0000
La  0.5000  0.5000  0.5000

Calculated values
For the calculated volume, the calculation gives 30.3 Å³/atom. For the relative energy among the computed polymorphs, the calculation gives 0 meV/atom. The value obtained for the density of states at the Fermi level is 3.400 states/eV/f.u. The space group is P4/mmm. As for the energy: -3.019 eV/atom. The energy of formation from the pure elements comes out at 325 meV per atom.